## La2ErGa3Rh4 (PBE-GGA)

Data for a relaxed structure of La2ErGa3Rh4.

The structure belongs to space group P-4m2 (No. 115); the cell edges are 4.3367, 4.3367 and 10.8486 Å and the angles 90.00°, 90.00° and 90.00°. Symmetry generates all atoms from La at (0.0000, 0.5000, 0.2235), Er at (0.0000, 0.0000, 0.5000), Ga at (0.0000, 0.5000, 0.8848), Ga at (0.5000, 0.5000, 0.5000), Rh at (0.0000, 0.0000, 0.0000), Rh at (0.0000, 0.5000, 0.6510) and Rh at (0.5000, 0.5000, 0.0000).

The calculation puts the formation energy at -0.83 eV/atom. The calculation puts the volume at 204 Å³/f.u.